# 1
VASP calculation (PBE) on a geometry-optimized TbTl3Cd2 structure.

abc: 8.0127 8.0127 4.2254
angles: 90.00 90.00 144.30
Element x y z (fractional)
1 Tb 0.0000 0.0000 0.0000
2 Tl 0.1693 0.8307 0.5000
3 Tl 0.5000 0.5000 0.5000
4 Tl 0.8307 0.1693 0.5000
5 Cd 0.3334 0.6666 0.0000
6 Cd 0.6666 0.3334 0.0000

Values from the calculation:
magnetization	0.00	μB per formula unit
DFT formation energy	-0.115	eV/atom
total energy	-2.38	eV per atom

# 2
VASP calculation (PBE) on a geometry-optimized Ba3Ga8Ag3 structure.

abc: 8.9357 8.9357 8.9357
angles: 149.94 109.85 78.17
Element x y z (fractional)
1 Ba 0.0000 0.0000 0.0000
2 Ba 0.3063 0.3063 0.0000
3 Ba 0.6937 0.6937 0.0000
4 Ga 0.0282 0.6661 0.3621
5 Ga 0.1336 0.8598 0.2738
6 Ga 0.3040 0.6661 0.6379
7 Ga 0.4141 0.1402 0.2738
8 Ga 0.5859 0.8598 0.7262
9 Ga 0.6960 0.3339 0.3621
10 Ga 0.8664 0.1402 0.7262
11 Ga 0.9718 0.3339 0.6379
12 Ag 0.2838 0.5000 0.7838
13 Ag 0.5000 0.0000 0.5000
14 Ag 0.7162 0.5000 0.2162

Values from the calculation:
magnetization	0.00	μB per formula unit
DFT formation energy	-0.320	eV/atom
total energy	-3.07	eV per atom

# 3
VASP calculation (PBE) on a geometry-optimized RbLiTa2Hg structure.

abc: 5.2093 5.2093 6.4090
angles: 90.00 90.00 90.00
Element x y z (fractional)
1 Rb 0.0000 0.0000 0.0000
2 Li 0.5000 0.5000 0.0000
3 Ta 0.0000 0.5000 0.5000
4 Ta 0.5000 0.0000 0.5000
5 Hg 0.0000 0.0000 0.5000

Values from the calculation:
magnetization	2.02	μB per formula unit
DFT formation energy	1.808	eV/atom
total energy	-3.57	eV per atom